Density functional theory data (PBE-GGA) for Nd2GaSe5 after structural relaxation.

abc: 7.2316 8.3141 7.8630
angles: 126.59 134.50 84.65
Positions (direct):
Nd 0.1842 0.7689 0.5617
Nd 0.9189 0.4098 0.6467
Ga 0.9503 0.9439 0.9560
Se 0.7955 0.2153 0.0879
Se 0.1592 0.1877 0.8799
Se 0.7458 0.6760 0.9211
Se 0.4008 0.9414 0.1753
Se 0.6224 0.6339 0.3254

Values from the calculation:
D(E_F), states/eV per cell: 0.6
E_form (uncorrected), eV/atom: -1.19
V, Å³/cell: 223.11
Symmetry: P1 (1)
VASP energy, Ry per atom: -0.3628